(1)
# SCAN TiCCl2, single point on PBEsol structure
# - uncorrected energy (eV per atom) = -9.2505
# - formation energy without anion corrections (meV/atom) = 1271
# - crystal system = trigonal
data_TiCCl2
_symmetry_space_group_name_H-M 'R -3 m'
_symmetry_Int_Tables_number 166
_symmetry_space_group_name_Hall '-R 3 2"'
_cell_length_a 3.1048
_cell_length_b 3.1048
_cell_length_c 22.9666
_cell_angle_alpha 90.00
_cell_angle_beta 90.00
_cell_angle_gamma 120.00
loop_
_atom_site_label
_atom_site_type_symbol
_atom_site_fract_x
_atom_site_fract_y
_atom_site_fract_z
Ti1 Ti 0.0000 0.0000 0.0000
C1 C 0.0000 0.0000 0.5000
Cl1 Cl 0.0000 0.0000 0.0991



(2)
# SCAN YCCl2, single point on PBEsol structure
# - uncorrected energy (eV per atom) = -12.5971
# - formation energy without anion corrections (meV/atom) = 877
# - crystal system = trigonal
data_YCCl2
_symmetry_space_group_name_H-M 'R -3 m'
_symmetry_Int_Tables_number 166
_symmetry_space_group_name_Hall '-R 3 2"'
_cell_length_a 3.6626
_cell_length_b 3.6626
_cell_length_c 23.0801
_cell_angle_alpha 90.00
_cell_angle_beta 90.00
_cell_angle_gamma 120.00
loop_
_atom_site_label
_atom_site_type_symbol
_atom_site_fract_x
_atom_site_fract_y
_atom_site_fract_z
Y1 Y 0.0000 0.0000 0.0000
C1 C 0.0000 0.0000 0.5000
Cl1 Cl 0.0000 0.0000 0.1111



(3)
# SCAN Y2CCl, single point on PBEsol structure
# - uncorrected energy (eV per atom) = -18.9201
# - formation energy without anion corrections (meV/atom) = -479
# - crystal system = cubic
data_Y2CCl
_symmetry_space_group_name_H-M 'F m -3 m'
_symmetry_Int_Tables_number 225
_symmetry_space_group_name_Hall '-F 4 2 3'
_cell_length_a 6.437
_cell_length_b 6.437
_cell_length_c 6.437
_cell_angle_alpha 90.00
_cell_angle_beta 90.00
_cell_angle_gamma 90.00
loop_
_atom_site_label
_atom_site_type_symbol
_atom_site_fract_x
_atom_site_fract_y
_atom_site_fract_z
Y1 Y 0.250 0.250 0.250
C1 C 0.000 0.000 0.000
Cl1 Cl 0.000 0.000 0.500



(4)
# SCAN YC2Cl, single point on PBEsol structure
# - uncorrected energy (eV per atom) = -12.7351
# - formation energy without anion corrections (meV/atom) = 1270
# - crystal system = tetragonal
data_YC2Cl
_symmetry_space_group_name_H-M 'I 41/a m d'
_symmetry_Int_Tables_number 141
_cell_length_a 3.448
_cell_length_b 3.448
_cell_length_c 21.304
_cell_angle_alpha 90.00
_cell_angle_beta 90.00
_cell_angle_gamma 90.00
loop_
_symmetry_equiv_pos_as_xyz
'x,y,z'
'-x,-y,-z'
'-y+1/4,x+3/4,z+1/4'
'y+1/4,-x+3/4,-z+1/4'
'-x+1/2,-y,z+1/2'
'x+1/2,y,-z+1/2'
'y+1/4,-x+1/4,z+3/4'
'-y+1/4,x+1/4,-z+3/4'
'x,-y,-z'
'-x,y,z'
'-y+1/4,-x+1/4,-z+3/4'
'y+1/4,x+1/4,z+3/4'
'-x+1/2,y,-z+1/2'
'x+1/2,-y,z+1/2'
'y+1/4,x+3/4,-z+1/4'
'-y+1/4,-x+3/4,z+1/4'
'x+1/2,y+1/2,z+1/2'
'-x+1/2,-y+1/2,-z+1/2'
'-y+3/4,x+1/4,z+3/4'
'y+3/4,-x+1/4,-z+3/4'
'-x,-y+1/2,z'
'x,y+1/2,-z'
'y+3/4,-x+3/4,z+1/4'
'-y+3/4,x+3/4,-z+1/4'
'x+1/2,-y+1/2,-z+1/2'
'-x+1/2,y+1/2,z+1/2'
'-y+3/4,-x+3/4,-z+1/4'
'y+3/4,x+3/4,z+1/4'
'-x,y+1/2,-z'
'x,-y+1/2,z'
'y+3/4,x+1/4,-z+3/4'
'-y+3/4,-x+1/4,z+3/4'
loop_
_atom_site_label
_atom_site_type_symbol
_atom_site_fract_x
_atom_site_fract_y
_atom_site_fract_z
Y1 Y 0.000 0.250 0.375
C1 C 0.000 0.000 0.000
Cl1 Cl 0.000 0.250 0.875



(5)
# SCAN YC3Cl, single point on PBEsol structure
# - uncorrected energy (eV per atom) = -10.2744
# - formation energy without anion corrections (meV/atom) = 2950
# - crystal system = cubic
data_YC3Cl
_symmetry_space_group_name_H-M 'P m -3 m'
_symmetry_Int_Tables_number 221
_symmetry_space_group_name_Hall '-P 4 2 3'
_cell_length_a 4.620
_cell_length_b 4.620
_cell_length_c 4.620
_cell_angle_alpha 90.00
_cell_angle_beta 90.00
_cell_angle_gamma 90.00
loop_
_atom_site_label
_atom_site_type_symbol
_atom_site_fract_x
_atom_site_fract_y
_atom_site_fract_z
Y1 Y 0.000 0.000 0.000
C1 C 0.000 0.000 0.500
Cl1 Cl 0.500 0.500 0.500



(6)
# SCAN ZnCCl2, single point on PBEsol structure
# - uncorrected energy (eV per atom) = -8.6984
# - formation energy without anion corrections (meV/atom) = 1194
# - crystal system = tetragonal
data_ZnCCl2
_symmetry_space_group_name_H-M 'I -4 2 d'
_symmetry_Int_Tables_number 122
_symmetry_space_group_name_Hall 'I -4 2bw'
_cell_length_a 6.487
_cell_length_b 6.487
_cell_length_c 6.094
_cell_angle_alpha 90.00
_cell_angle_beta 90.00
_cell_angle_gamma 90.00
loop_
_atom_site_label
_atom_site_type_symbol
_atom_site_fract_x
_atom_site_fract_y
_atom_site_fract_z
Zn1 Zn 0.000 0.000 0.000
C1 C 0.000 0.000 0.500
Cl1 Cl 0.248 0.750 0.625



(7)
# SCAN Zr6CCl14, single point on PBEsol structure
# - uncorrected energy (eV per atom) = -16.5751
# - formation energy without anion corrections (meV/atom) = -2004
# - crystal system = orthorhombic
data_Zr6CCl14
_symmetry_space_group_name_H-M 'C m c e'
_symmetry_Int_Tables_number 64
_symmetry_space_group_name_Hall '-C 2ac 2'
_cell_length_a 14.038
_cell_length_b 12.598
_cell_length_c 11.417
_cell_angle_alpha 90.00
_cell_angle_beta 90.00
_cell_angle_gamma 90.00
loop_
_atom_site_label
_atom_site_type_symbol
_atom_site_fract_x
_atom_site_fract_y
_atom_site_fract_z
Zr1 Zr 0.000 0.147 0.107
Zr2 Zr 0.116 0.070 0.883
C1 C 0.000 0.000 0.000
Cl1 Cl 0.000 0.158 0.737
Cl2 Cl 0.124 0.088 0.250
Cl3 Cl 0.125 0.243 0.991
Cl4 Cl 0.249 0.000 0.500
Cl5 Cl 0.250 0.151 0.750



(8)
# SCAN CoC, single point on PBEsol structure
# - uncorrected energy (eV per atom) = -12.9546
# - DFT formation energy (eV per atom) = 0.75
# - crystal system = orthorhombic
data_CoC
_symmetry_space_group_name_H-M 'C m c m'
_symmetry_Int_Tables_number 63
_symmetry_space_group_name_Hall '-C 2c 2'
_cell_length_a 3.097
_cell_length_b 6.058
_cell_length_c 3.729
_cell_angle_alpha 90.00
_cell_angle_beta 90.00
_cell_angle_gamma 90.00
loop_
_atom_site_label
_atom_site_type_symbol
_atom_site_fract_x
_atom_site_fract_y
_atom_site_fract_z
Co1 Co 0.000 0.205 0.250
C1 C 0.000 0.121 0.750



(9)
# SCAN Co3C, single point on PBEsol structure
# - uncorrected energy (eV per atom) = -14.5416
# - DFT formation energy (eV per atom) = 0.96
# - crystal system = cubic
data_Co3C
_symmetry_space_group_name_H-M 'F m -3 m'
_symmetry_Int_Tables_number 225
_symmetry_space_group_name_Hall '-F 4 2 3'
_cell_length_a 5.248
_cell_length_b 5.248
_cell_length_c 5.248
_cell_angle_alpha 90.00
_cell_angle_beta 90.00
_cell_angle_gamma 90.00
loop_
_atom_site_label
_atom_site_type_symbol
_atom_site_fract_x
_atom_site_fract_y
_atom_site_fract_z
Co1 Co 0.000 0.000 0.000
Co2 Co 0.250 0.250 0.250
C1 C 0.000 0.000 0.500



(10)
# SCAN CoC, single point on PBEsol structure
# - uncorrected energy (eV per atom) = -12.5908
# - DFT formation energy (eV per atom) = 1.11
# - crystal system = tetragonal
data_CoC
_symmetry_space_group_name_H-M 'P 4/m m m'
_symmetry_Int_Tables_number 123
_symmetry_space_group_name_Hall '-P 4 2'
_cell_length_a 2.642
_cell_length_b 2.642
_cell_length_c 2.667
_cell_angle_alpha 90.00
_cell_angle_beta 90.00
_cell_angle_gamma 90.00
loop_
_atom_site_label
_atom_site_type_symbol
_atom_site_fract_x
_atom_site_fract_y
_atom_site_fract_z
Co1 Co 0.000 0.000 0.000
C1 C 0.500 0.500 0.000



(11)
# SCAN CoC, single point on PBEsol structure
# - uncorrected energy (eV per atom) = -12.3642
# - DFT formation energy (eV per atom) = 1.34
# - crystal system = cubic
data_CoC
_symmetry_space_group_name_H-M 'P m -3 m'
_symmetry_Int_Tables_number 221
_symmetry_space_group_name_Hall '-P 4 2 3'
_cell_length_a 2.459
_cell_length_b 2.459
_cell_length_c 2.459
_cell_angle_alpha 90.00
_cell_angle_beta 90.00
_cell_angle_gamma 90.00
loop_
_atom_site_label
_atom_site_type_symbol
_atom_site_fract_x
_atom_site_fract_y
_atom_site_fract_z
Co1 Co 0.000 0.000 0.000
C1 C 0.500 0.500 0.500



(12)
# SCAN Co4C, single point on PBEsol structure
# - uncorrected energy (eV per atom) = -15.4534
# - DFT formation energy (eV per atom) = 0.41
# - crystal system = tetragonal
data_Co4C
_symmetry_space_group_name_H-M 'I 4/m'
_symmetry_Int_Tables_number 87
_symmetry_space_group_name_Hall '-I 4'
_cell_length_a 6.073
_cell_length_b 6.073
_cell_length_c 2.442
_cell_angle_alpha 90.00
_cell_angle_beta 90.00
_cell_angle_gamma 90.00
loop_
_atom_site_label
_atom_site_type_symbol
_atom_site_fract_x
_atom_site_fract_y
_atom_site_fract_z
Co1 Co 0.070 0.737 0.000
C1 C 0.000 0.000 0.500